--- w ---
PBE Nd8Ir2Rh, relaxed; N(E_F) = 9.90 states/eV per cell
1.0
4.2574 -6.3810 0.0000
4.2574 6.3810 0.0000
-2.2094 0.0000 6.0167
Nd Ir Rh
8 2 1
Cartesian
0.0000 0.0000 0.0000 Nd
-0.0655 1.6896 3.5313 Nd
2.6377 2.6177 1.1678 Nd
-0.0655 -1.6896 3.5313 Nd
3.0582 1.6859 4.9014 Nd
2.6377 -2.6177 1.1678 Nd
3.0582 -1.6859 4.9014 Nd
5.2256 0.0000 2.3310 Nd
1.4913 4.0031 4.1755 Ir
1.4913 -4.0031 4.1755 Ir
2.9662 0.0000 0.0689 Rh



--- x ---
PBE Nd8Ir2Rh, relaxed; N(E_F) = 11.99 states/eV per cell
1.0
8.9345 -2.5220 0.0000
8.9345 2.5220 0.0000
-1.0003 0.0000 6.9417
Nd Ir Rh
8 2 1
Cartesian
0.3951 0.0000 1.9308 Nd
2.8003 0.0000 5.8268 Nd
5.4381 0.0000 3.7219 Nd
7.2934 0.0000 0.4534 Nd
9.5753 0.0000 6.4883 Nd
11.4306 0.0000 3.2199 Nd
14.0684 0.0000 1.1149 Nd
16.4736 0.0000 5.0110 Nd
3.4460 0.0000 1.6747 Ir
13.4227 0.0000 5.2670 Ir
8.4343 0.0000 3.4709 Rh



Stability check: which of them is most stable? x.



--- w ---
PBE Nd2IrRh3, relaxed; N(E_F) = 6.31 states/eV per cell
1.0
-2.4312 2.6773 4.6928
2.4312 -2.6773 4.6928
2.4312 2.6773 -4.6928
Nd Ir Rh
2 1 3
Cartesian
0.0000 0.0000 1.7445 Nd
0.0000 0.0000 7.6412 Nd
0.0000 0.0000 4.6928 Ir
2.4312 0.0000 0.0000 Rh
2.4312 0.0000 3.4032 Rh
0.0000 2.6773 1.2897 Rh



--- x ---
PBE Nd2IrRh3, relaxed; N(E_F) = 4.25 states/eV per cell
1.0
2.7135 1.5667 4.4268
-2.7135 1.5667 4.4268
0.0000 -3.1333 4.4268
Nd Ir Rh
2 1 3
Cartesian
0.0000 0.0000 1.6667 Nd
0.0000 0.0000 11.6136 Nd
0.0000 0.0000 6.6401 Ir
-1.3568 -0.7833 4.4268 Rh
-1.3568 0.7833 8.8535 Rh
0.0000 1.5667 4.4268 Rh



Stability check: which of them is most stable? x.



--- w ---
PBE Nd3IrRh, relaxed; N(E_F) = 13.42 states/eV per cell
1.0
8.8569 0.0000 0.0000
0.0000 7.4687 0.0000
-2.4044 0.0000 8.0874
Nd Ir Rh
12 4 4
Cartesian
-0.0472 0.0058 1.7447 Nd
-1.2494 3.7286 5.7884 Nd
2.3325 4.8895 0.8829 Nd
1.1303 6.3135 4.9266 Nd
3.1383 1.4238 0.0394 Nd
1.9361 2.3106 4.0831 Nd
4.5163 5.1581 4.0043 Nd
3.3141 6.0449 8.0480 Nd
5.3222 1.1552 3.1608 Nd
4.1200 2.5791 7.2045 Nd
7.7019 3.7401 2.2990 Nd
6.4997 7.4629 6.3427 Nd
-0.7567 1.3740 4.1974 Ir
0.4455 2.3604 0.1537 Ir
6.0070 5.1083 7.9337 Ir
7.2092 6.0947 3.8900 Ir
1.6396 4.0061 6.5916 Rh
2.8418 7.1969 2.5479 Rh
3.6107 0.2717 5.5395 Rh
4.8129 3.4626 1.4958 Rh



--- x ---
PBE Nd3IrRh, relaxed; N(E_F) = 4.79 states/eV per cell
1.0
3.5616 2.0563 6.5014
-3.5616 2.0563 6.5014
0.0000 -4.1126 6.5014
Nd Ir Rh
6 2 2
Cartesian
-2.3346 0.0565 8.1146 Nd
-1.2162 -1.9936 11.3895 Nd
1.1184 -2.0501 8.1146 Nd
-1.1184 2.0501 11.3895 Nd
1.2162 1.9936 8.1146 Nd
2.3346 -0.0565 11.3895 Nd
0.0000 0.0000 6.4065 Ir
0.0000 0.0000 13.0976 Ir
0.0000 0.0000 3.3481 Rh
0.0000 0.0000 16.1559 Rh



Stability check: which of them is most stable? w.



--- w ---
PBE Nd2IrRh, relaxed; N(E_F) = 0.57 states/eV per cell
1.0
2.0662 1.1929 6.6901
-2.0662 1.1929 6.6901
0.0000 -2.3859 6.6901
Nd Ir Rh
2 1 1
Cartesian
0.0000 0.0000 4.9964 Nd
0.0000 0.0000 15.0739 Nd
0.0000 0.0000 10.0351 Ir
0.0000 0.0000 0.0000 Rh



--- x ---
PBE Nd2IrRh, relaxed; N(E_F) = 2.99 states/eV per cell
1.0
5.8263 0.0000 0.0000
0.0000 4.2579 0.0000
-2.7608 0.0000 7.5207
Nd Ir Rh
4 2 2
Cartesian
0.0504 1.0645 3.2511 Nd
-1.3066 1.0645 6.9540 Nd
4.3721 3.1934 0.5667 Nd
3.0151 3.1934 4.2695 Nd
0.0332 3.1934 5.3476 Ir
3.0323 1.0645 2.1731 Ir
1.3626 3.1934 1.5632 Rh
1.7029 1.0645 5.9575 Rh



--- y ---
PBE Nd2IrRh, relaxed; N(E_F) = 2.35 states/eV per cell
1.0
4.9518 0.0000 0.0000
0.0000 4.9518 0.0000
0.0000 0.0000 3.6354
Nd Ir Rh
2 1 1
Cartesian
0.0000 2.4759 0.0000 Nd
2.4759 0.0000 0.0000 Nd
0.0000 0.0000 1.8177 Ir
2.4759 2.4759 1.8177 Rh



--- z ---
PBE Nd2IrRh, relaxed; N(E_F) = 2.13 states/eV per cell
1.0
0.0000 3.5452 3.5452
3.5452 0.0000 3.5452
3.5452 3.5452 0.0000
Nd Ir Rh
2 1 1
Cartesian
1.7726 1.7726 1.7726 Nd
5.3178 5.3178 5.3178 Nd
0.0000 0.0000 0.0000 Ir
3.5452 3.5452 3.5452 Rh



Stability check: which of them is most stable? x.



--- w ---
PBE NdIrRu, relaxed; N(E_F) = 6.47 states/eV per cell
1.0
-2.6312 2.7574 3.9082
2.6312 -2.7574 3.9082
2.6312 2.7574 -3.9082
Nd Ir Ru
2 2 2
Cartesian
0.0000 1.3787 0.9662 Nd
2.6312 1.3787 2.9419 Nd
2.6312 0.0000 0.0000 Ir
0.0000 0.0000 3.9082 Ir
1.3156 1.3787 -1.9541 Ru
1.3156 -1.3787 1.9541 Ru



--- x ---
PBE NdIrRu, relaxed; N(E_F) = 4.04 states/eV per cell
1.0
4.3550 -2.8236 0.0000
4.3550 2.8236 0.0000
-1.5350 0.0000 4.7937
Nd Ir Ru
2 2 2
Cartesian
0.5692 0.0000 1.7597 Nd
6.6058 0.0000 3.0340 Nd
2.1775 1.4118 0.0000 Ir
2.1775 -1.4118 0.0000 Ir
3.1582 0.0000 3.5162 Ru
4.0168 0.0000 1.2776 Ru



Stability check: which of them is most stable? w.



--- w ---
PBE Nd8Ir2Ru, relaxed; N(E_F) = 11.23 states/eV per cell
1.0
8.9855 -2.4813 0.0000
8.9855 2.4813 0.0000
-1.7720 0.0000 6.8625
Nd Ir Ru
8 2 1
Cartesian
-0.0003 0.0000 1.9841 Nd
2.2247 0.0000 5.6128 Nd
5.0473 0.0000 3.6533 Nd
7.2227 0.0000 0.2871 Nd
8.9763 0.0000 6.5755 Nd
11.1517 0.0000 3.2092 Nd
13.9742 0.0000 1.2498 Nd
16.1993 0.0000 4.8784 Nd
3.0321 0.0000 1.4490 Ir
13.1668 0.0000 5.4135 Ir
8.0995 0.0000 3.4313 Ru



--- x ---
PBE Nd8Ir2Ru, relaxed; N(E_F) = 9.35 states/eV per cell
1.0
4.2451 -6.4298 0.0000
4.2451 6.4298 0.0000
-2.2026 0.0000 5.9190
Nd Ir Ru
8 2 1
Cartesian
0.0000 0.0000 0.0000 Nd
-0.0314 1.6691 3.3788 Nd
2.5676 2.6641 1.1222 Nd
-0.0314 -1.6691 3.3788 Nd
3.0744 1.6773 4.6606 Nd
2.5676 -2.6641 1.1222 Nd
3.0744 -1.6773 4.6606 Nd
5.2019 0.0000 2.2395 Nd
1.5264 4.0094 4.0615 Ir
1.5264 -4.0094 4.0615 Ir
2.2971 0.0000 1.9902 Ru



Stability check: which of them is most stable? w.



--- w ---
PBE Nd2IrS, relaxed; N(E_F) = 2.75 states/eV per cell
1.0
2.0208 1.1667 7.2795
-2.0208 1.1667 7.2795
0.0000 -2.3334 7.2795
Nd Ir S
2 1 1
Cartesian
0.0000 0.0000 0.0000 Nd
0.0000 0.0000 3.8990 Nd
0.0000 0.0000 12.8584 Ir
0.0000 0.0000 9.2146 S



--- x ---
PBE Nd2IrS, relaxed; N(E_F) = 3.49 states/eV per cell
1.0
1.8458 1.0657 8.9310
-1.8458 1.0657 8.9310
0.0000 -2.1313 8.9310
Nd Ir S
2 1 1
Cartesian
0.0000 0.0000 2.6381 Nd
0.0000 0.0000 24.1550 Nd
0.0000 0.0000 0.0000 Ir
0.0000 0.0000 13.3965 S



Stability check: which of them is most stable? w.



--- w ---
PBE Nd2SbIr, relaxed; N(E_F) = 1.30 states/eV per cell
1.0
2.1709 1.2533 7.0974
-2.1709 1.2533 7.0974
0.0000 -2.5067 7.0974
Nd Sb Ir
2 1 1
Cartesian
0.0000 0.0000 5.1092 Nd
0.0000 0.0000 16.1829 Nd
0.0000 0.0000 0.0000 Sb
0.0000 0.0000 10.6461 Ir



--- x ---
PBE Nd2SbIr, relaxed; N(E_F) = 2.61 states/eV per cell
1.0
6.2660 0.0000 0.0000
0.0000 4.3269 0.0000
-3.0372 0.0000 8.0158
Nd Sb Ir
4 2 2
Cartesian
-0.1367 1.0817 3.2019 Nd
1.4535 3.2452 0.3917 Nd
1.7753 1.0817 7.6241 Nd
3.3655 3.2452 4.8139 Nd
0.2204 3.2452 5.6691 Sb
3.0084 1.0817 2.3467 Sb
-1.6405 1.0817 6.3519 Ir
4.8693 3.2452 1.6639 Ir



Stability check: which of them is most stable? x.



--- w ---
PBE NdScIr, relaxed; N(E_F) = 4.05 states/eV per cell
1.0
-1.6637 1.6637 6.4063
1.6637 -1.6637 6.4063
1.6637 1.6637 -6.4063
Nd Sc Ir
1 1 1
Cartesian
0.0000 0.0000 0.0000 Nd
0.0000 0.0000 3.4134 Sc
0.0000 0.0000 8.4203 Ir



--- x ---
PBE NdScIr, relaxed; N(E_F) = 10.16 states/eV per cell
1.0
7.2895 0.0000 0.0000
-3.6447 6.3129 0.0000
0.0000 0.0000 4.5026
Nd Sc Ir
3 3 3
Cartesian
-1.5127 2.6201 0.0000 Nd
3.0254 0.0000 0.0000 Nd
2.1320 3.6928 0.0000 Nd
-2.7295 4.7277 2.2513 Sc
0.9152 1.5852 2.2513 Sc
5.4591 0.0000 2.2513 Sc
0.0000 0.0000 0.0000 Ir
0.0000 4.2086 2.2513 Ir
3.6447 2.1043 2.2513 Ir



--- y ---
PBE NdScIr, relaxed; N(E_F) = 3.65 states/eV per cell
1.0
0.0000 3.3627 3.3627
3.3627 0.0000 3.3627
3.3627 3.3627 0.0000
Nd Sc Ir
1 1 1
Cartesian
0.0000 0.0000 0.0000 Nd
3.3627 3.3627 3.3627 Sc
5.0441 5.0441 5.0441 Ir



--- z ---
PBE NdScIr, relaxed; N(E_F) = 7.42 states/eV per cell
1.0
4.4601 0.0000 0.0000
0.0000 4.5509 0.0000
-0.5322 0.0000 7.0098
Nd Sc Ir
2 2 2
Cartesian
0.8653 1.1377 2.5929 Nd
3.0625 3.4132 4.4170 Nd
1.1485 3.4132 0.0158 Sc
2.7793 1.1377 6.9940 Sc
0.4918 1.1377 5.4537 Ir
3.4361 3.4132 1.5561 Ir



Stability check: which of them is most stable? z.



--- w ---
PBE NdScIr2, relaxed; N(E_F) = 2.36 states/eV per cell
1.0
0.0000 3.4017 3.4017
3.4017 0.0000 3.4017
3.4017 3.4017 0.0000
Nd Sc Ir
1 1 2
Cartesian
0.0000 0.0000 0.0000 Nd
3.4017 3.4017 3.4017 Sc
1.7008 1.7008 1.7008 Ir
5.1025 5.1025 5.1025 Ir



--- x ---
PBE NdScIr2, relaxed; N(E_F) = 0.84 states/eV per cell
1.0
3.2776 0.0000 0.0000
0.0000 3.2776 0.0000
0.0000 0.0000 7.2061
Nd Sc Ir
1 1 2
Cartesian
0.0000 0.0000 0.0000 Nd
0.0000 0.0000 3.6031 Sc
1.6388 1.6388 2.0211 Ir
1.6388 1.6388 5.1850 Ir



Stability check: which of them is most stable? x.